# 1
DFT (PBE) results for a relaxed structure of Ca2OsRuO6.

Properties
* size of the total moment: 3.46 Bohr magnetons per cell
* calculated volume: 12.52 A^3/atom
* uncorrected energy: -0.2588 hartree per atom

Cell and atoms, written as CIF:
```
data_Ca2OsRuO6
_symmetry_space_group_name_H-M 'P 4 m m'
_symmetry_Int_Tables_number 99
_cell_length_a 5.6219
_cell_length_b 5.6219
_cell_length_c 3.9615
_cell_angle_alpha 90.00
_cell_angle_beta 90.00
_cell_angle_gamma 90.00
loop_
_symmetry_equiv_pos_as_xyz
'x,y,z'
'-y,x,z'
'-x,-y,z'
'y,-x,z'
'-x,y,z'
'y,x,z'
'x,-y,z'
'-y,-x,z'
loop_
_atom_site_label
_atom_site_type_symbol
_atom_site_fract_x
_atom_site_fract_y
_atom_site_fract_z
Ca1 Ca 0.0000 0.5000 0.0000
Os1 Os 0.0000 0.0000 0.5860
Ru1 Ru 0.5000 0.5000 0.5835
O1 O 0.0000 0.0000 0.0951
O2 O 0.2474 0.2474 0.6286
O3 O 0.5000 0.5000 0.0933
```

# 2
DFT (PBE) results for a relaxed structure of Ca2OsRuO8.

Properties
* size of the total moment: 1.30 Bohr magnetons per cell
* calculated volume: 13.41 A^3/atom
* uncorrected energy: -0.2549 hartree per atom

Cell and atoms, written as CIF:
```
data_Ca2OsRuO8
_symmetry_space_group_name_H-M 'P 1 2/m 1'
_symmetry_Int_Tables_number 10
_cell_length_a 4.9923
_cell_length_b 6.4444
_cell_length_c 5.0027
_cell_angle_alpha 90.00
_cell_angle_beta 91.25
_cell_angle_gamma 90.00
loop_
_symmetry_equiv_pos_as_xyz
'x,y,z'
'-x,-y,-z'
'-x,y,-z'
'x,-y,z'
loop_
_atom_site_label
_atom_site_type_symbol
_atom_site_fract_x
_atom_site_fract_y
_atom_site_fract_z
Ca1 Ca 0.0000 0.2495 0.0000
Os1 Os 0.5000 0.5000 0.5000
Ru1 Ru 0.5000 0.0000 0.5000
O1 O 0.2386 0.5000 0.2375
O2 O 0.2398 0.0000 0.2386
O3 O 0.3274 0.2596 0.6712
```

# 3
DFT (PBE) results for a relaxed structure of CaOsRuO2.

Properties
* size of the total moment: 2.69 Bohr magnetons per cell
* calculated volume: 18.72 A^3/atom
* uncorrected energy: -0.2188 hartree per atom

Cell and atoms, written as CIF:
```
data_CaOsRuO2
_symmetry_space_group_name_H-M 'P 4/m m m'
_symmetry_Int_Tables_number 123
_symmetry_space_group_name_Hall '-P 4 2'
_cell_length_a 3.8435
_cell_length_b 3.8435
_cell_length_c 6.3361
_cell_angle_alpha 90.00
_cell_angle_beta 90.00
_cell_angle_gamma 90.00
loop_
_atom_site_label
_atom_site_type_symbol
_atom_site_fract_x
_atom_site_fract_y
_atom_site_fract_z
Ca1 Ca 0.0000 0.0000 0.0000
Os1 Os 0.5000 0.5000 0.0000
Ru1 Ru 0.0000 0.0000 0.5000
O1 O 0.0000 0.5000 0.5000
```

# 4
DFT (PBE) results for a relaxed structure of CaScOsO6.

Properties
* size of the total moment: 2.08 Bohr magnetons per cell
* calculated volume: 13.50 A^3/atom
* uncorrected energy: -0.2801 hartree per atom

Cell and atoms, written as CIF:
```
data_CaScOsO6
_symmetry_space_group_name_H-M 'P -3 1 c'
_symmetry_Int_Tables_number 163
_symmetry_space_group_name_Hall '-P 3 2c'
_cell_length_a 5.3058
_cell_length_b 5.3058
_cell_length_c 9.9680
_cell_angle_alpha 90.00
_cell_angle_beta 90.00
_cell_angle_gamma 120.00
loop_
_atom_site_label
_atom_site_type_symbol
_atom_site_fract_x
_atom_site_fract_y
_atom_site_fract_z
Ca1 Ca 0.0000 0.0000 0.0000
Sc1 Sc 0.3333 0.6667 0.2500
Os1 Os 0.3333 0.6667 0.7500
O1 O 0.0283 0.3770 0.6426
```

# 5
DFT (PBE) results for a relaxed structure of Ca2ScOsO6.

Properties
* size of the total moment: 6.01 Bohr magnetons per cell
* calculated volume: 12.28 A^3/atom
* uncorrected energy: -0.2804 hartree per atom

Cell and atoms, written as CIF:
```
data_Ca2ScOsO6
_symmetry_space_group_name_H-M 'P 1 21/c 1'
_symmetry_Int_Tables_number 14
_cell_length_a 5.5005
_cell_length_b 5.6731
_cell_length_c 9.5882
_cell_angle_alpha 90.00
_cell_angle_beta 124.81
_cell_angle_gamma 90.00
loop_
_symmetry_equiv_pos_as_xyz
'x,y,z'
'-x,-y,-z'
'-x,y+1/2,-z+1/2'
'x,-y+1/2,z+1/2'
loop_
_atom_site_label
_atom_site_type_symbol
_atom_site_fract_x
_atom_site_fract_y
_atom_site_fract_z
Ca1 Ca 0.2370 0.0531 0.2503
Sc1 Sc 0.5000 0.0000 0.0000
Os1 Os 0.0000 0.0000 0.5000
O1 O 0.1412 0.2114 0.9485
O2 O 0.2418 0.6969 0.9511
O3 O 0.3379 0.0320 0.7420
```

# 6
DFT (PBE) results for a relaxed structure of CaOsSe2O.

Properties
* size of the total moment: 0.00 Bohr magnetons per cell
* calculated volume: 17.54 A^3/atom
* uncorrected energy: -0.1775 hartree per atom

Cell and atoms, written as CIF:
```
data_CaOsSe2O
_symmetry_space_group_name_H-M 'P 4/m m m'
_symmetry_Int_Tables_number 123
_symmetry_space_group_name_Hall '-P 4 2'
_cell_length_a 4.5604
_cell_length_b 4.5604
_cell_length_c 4.2177
_cell_angle_alpha 90.00
_cell_angle_beta 90.00
_cell_angle_gamma 90.00
loop_
_atom_site_label
_atom_site_type_symbol
_atom_site_fract_x
_atom_site_fract_y
_atom_site_fract_z
Ca1 Ca 0.0000 0.0000 0.0000
Os1 Os 0.5000 0.5000 0.0000
Se1 Se 0.0000 0.5000 0.5000
O1 O 0.0000 0.0000 0.5000
```

# 7
DFT (PBE) results for a relaxed structure of CaSiOsO6.

Properties
* size of the total moment: 3.98 Bohr magnetons per cell
* calculated volume: 12.12 A^3/atom
* uncorrected energy: -0.2715 hartree per atom

Cell and atoms, written as CIF:
```
data_CaSiOsO6
_symmetry_space_group_name_H-M 'P -3 1 c'
_symmetry_Int_Tables_number 163
_symmetry_space_group_name_Hall '-P 3 2c'
_cell_length_a 4.9849
_cell_length_b 4.9849
_cell_length_c 10.1357
_cell_angle_alpha 90.00
_cell_angle_beta 90.00
_cell_angle_gamma 120.00
loop_
_atom_site_label
_atom_site_type_symbol
_atom_site_fract_x
_atom_site_fract_y
_atom_site_fract_z
Ca1 Ca 0.0000 0.0000 0.0000
Si1 Si 0.3333 0.6667 0.2500
Os1 Os 0.3333 0.6667 0.7500
O1 O 0.0208 0.3845 0.1493
```

# 8
DFT (PBE) results for a relaxed structure of Ca2SmOsO6.

Properties
* size of the total moment: 6.01 Bohr magnetons per cell
* calculated volume: 13.59 A^3/atom
* uncorrected energy: -0.2715 hartree per atom

Cell and atoms, written as CIF:
```
data_Ca2SmOsO6
_symmetry_space_group_name_H-M 'P 1 21/c 1'
_symmetry_Int_Tables_number 14
_cell_length_a 5.6530
_cell_length_b 5.8954
_cell_length_c 9.8745
_cell_angle_alpha 90.00
_cell_angle_beta 124.33
_cell_angle_gamma 90.00
loop_
_symmetry_equiv_pos_as_xyz
'x,y,z'
'-x,-y,-z'
'-x,y+1/2,-z+1/2'
'x,-y+1/2,z+1/2'
loop_
_atom_site_label
_atom_site_type_symbol
_atom_site_fract_x
_atom_site_fract_y
_atom_site_fract_z
Ca1 Ca 0.2350 0.0555 0.2523
Sm1 Sm 0.5000 0.0000 0.0000
Os1 Os 0.0000 0.0000 0.5000
O1 O 0.1056 0.2188 0.9321
O2 O 0.2279 0.6816 0.9433
O3 O 0.3453 0.0526 0.7280
```